{"formula": "GeB4Br2", "functional": "PBE", "state": "optimized geometry", "cell": [[-2.211, 2.211, 6.538], [2.211, -2.211, 6.538], [2.211, 2.211, -6.538]], "species": ["Ge", "B", "B", "B", "B", "Br", "Br"], "fractional_positions": [[0.000, 0.000, 0.000], [0.000, 0.500, 0.500], [0.165, 0.165, 0.000], [0.500, 0.000, 0.500], [0.835, 0.835, 0.000], [0.309, 0.309, 0.000], [0.691, 0.691, 0.000]], "rho_g_cm3": 3.6, "energy_ev_per_atom": -3.244, "dos_at_fermi_per_ev_atom": 0.453, "e_form_raw_ev_per_atom": 1.709}